(1)
Here is a relaxed structure of Rb3LiMo from Alexandria. Energies are from PBE-GGA.

## Properties
DOS at the Fermi energy   4.1 states/eV/f.u.
Polymorph energy (0 for the lowest one)   0.000 eV per atom

Lattice parameters (Å, degrees): 7.2294 7.2294 7.2294 90.00 90.00 90.00
With the nearest neighbours (Å) after each atom.
Space group Pm-3m (No. 221)
One atom of each set of equivalent atoms:
Rb (0.0000, 0.0000, 0.5000) (multiplicity 3)  2 Mo 3.61
Li (0.5000, 0.5000, 0.5000) (multiplicity 1)  12 Rb 5.11
Mo (0.0000, 0.0000, 0.0000) (multiplicity 1)  6 Rb 3.61



(2)
Here is a relaxed structure of RbLi3Mo from Alexandria. Energies are from PBE-GGA.

## Properties
DOS at the Fermi energy   4.0 states/eV/f.u.
Polymorph energy (0 for the lowest one)   0.528 eV per atom

Lattice parameters (Å, degrees): 5.1901 5.1901 5.1901 90.00 90.00 90.00
With the nearest neighbours (Å) after each atom.
Space group Pm-3m (No. 221)
One atom of each set of equivalent atoms:
Rb (0.0000, 0.0000, 0.0000) (multiplicity 1)  6 Li 2.60
Li (0.0000, 0.0000, 0.5000) (multiplicity 3)  2 Rb 2.60
Mo (0.5000, 0.5000, 0.5000) (multiplicity 1)  12 Li 3.67



(3)
Here is a relaxed structure of Rb2LiMo from Alexandria. Energies are from PBE-GGA.

## Properties
DOS at the Fermi energy   1.7 states/eV/f.u.
Polymorph energy (0 for the lowest one)   0.000 eV per atom

Lattice parameters (Å, degrees): 9.0677 9.0677 9.0677 90.00 90.00 90.00
With the nearest neighbours (Å) after each atom.
Space group Fm-3m (No. 225)
One atom of each set of equivalent atoms:
Rb (0.2500, 0.2500, 0.2500) (multiplicity 8)  4 Mo 3.93, 4 Li 3.93
Li (0.0000, 0.0000, 0.0000) (multiplicity 4)  8 Rb 3.93
Mo (0.0000, 0.0000, 0.5000) (multiplicity 4)  8 Rb 3.93



(4)
Here is a relaxed structure of Rb2LiMo from Alexandria. Energies are from PBE-GGA.

## Properties
DOS at the Fermi energy   2.5 states/eV/f.u.
Polymorph energy (0 for the lowest one)   0.069 eV per atom

Lattice parameters (Å, degrees): 10.2142 10.2142 7.1195 90.00 90.00 90.00
With the nearest neighbours (Å) after each atom.
Space group I-42d (No. 122)
One atom of each set of equivalent atoms:
Rb (0.2390, 0.2500, 0.1250) (multiplicity 8)  2 Rb 3.57, 2 Li 3.64, 2 Mo 3.80
Li (0.0000, 0.0000, 0.0000) (multiplicity 4)  2 Mo 3.56, 4 Rb 3.64
Mo (0.0000, 0.0000, 0.5000) (multiplicity 4)  2 Li 3.56, 4 Rb 3.80



(5)
Here is a relaxed structure of RbLiMoRu2 from Alexandria. Energies are from PBE-GGA.

## Properties
DOS at the Fermi energy   5.2 states/eV/f.u.
DFT total energy   -5.025 eV/atom

Lattice parameters (Å, degrees): 4.6975 4.6975 5.9630 90.00 90.00 90.00
With the nearest neighbours (Å) after each atom.
Space group P4/mmm (No. 123)
One atom of each set of equivalent atoms:
Rb (0.0000, 0.0000, 0.0000) (multiplicity 1)  2 Mo 2.98, 4 Li 3.32
Li (0.5000, 0.5000, 0.0000) (multiplicity 1)  4 Rb 3.32
Mo (0.0000, 0.0000, 0.5000) (multiplicity 1)  4 Ru 2.35
Ru (0.0000, 0.5000, 0.5000) (multiplicity 2)  2 Mo 2.35



(6)
Here is a relaxed structure of Rb2LiSbMo from Alexandria. Energies are from PBE-GGA.

## Properties
DOS at the Fermi energy   2.7 states/eV/f.u.
Formation energy without anion corrections   4.20 eV/f.u.

Lattice parameters (Å, degrees): 6.4225 6.4225 4.9852 90.00 90.00 90.00
With the nearest neighbours (Å) after each atom.
Space group P4/mmm (No. 123)
One atom of each set of equivalent atoms:
Rb (0.0000, 0.5000, 0.0000) (multiplicity 2)  2 Li 3.21
Li (0.0000, 0.0000, 0.0000) (multiplicity 1)  2 Sb 2.49
Sb (0.0000, 0.0000, 0.5000) (multiplicity 1)  2 Li 2.49
Mo (0.5000, 0.5000, 0.5000) (multiplicity 1)  8 Rb 4.07, 4 Sb 4.54